An optimized crystal structure of Ac3Pr4Ho2, computed with GGA-PBE.

a = 11.959 Å, b = 5.351 Å, c = 11.267 Å
α = 90.00°, β = 108.94°, γ = 90.00°
Space group C2/m (No. 12)
One atom of each set of equivalent atoms:
Ac1 0.000 0.000 0.000
Ac2 0.169 0.500 0.558
Pr1 0.005 0.000 0.672
Pr2 0.168 0.500 0.891
Ho1 0.164 0.500 0.219

Summary:
Its crystal system is monoclinic. As for the density: 7.668 Mg/m³. Its formation energy is 0.045 eV per atom.